Entry from Alexandria: ZnOs2Ru after structural relaxation (PBE).

Unit cell a=4.842 b=4.842 c=4.842 alpha=134.59 beta=134.59 gamma=66.17
Fractional coordinates of all 4 atoms:
Zn 0.750 0.250 0.500
Os 0.000 0.000 0.000
Os 0.500 0.500 0.000
Ru 0.250 0.750 0.500


Entry from Alexandria: ZnOs2Ru after structural relaxation (PBE).

Unit cell a=8.958 b=8.958 c=8.958 alpha=17.56 beta=17.56 gamma=17.56
Fractional coordinates of all 4 atoms:
Zn 0.751 0.751 0.751
Ru 0.501 0.501 0.501
Os 0.998 0.998 0.998
Os 0.250 0.250 0.250


Entry from Alexandria: ZnOs2Ru after structural relaxation (PBE).

Unit cell a=3.978 b=3.785 c=3.785 alpha=90.00 beta=90.00 gamma=90.00
Fractional coordinates of all 4 atoms:
Ru 0.500 0.500 0.000
Os 0.000 0.500 0.500
Os 0.000 0.000 0.000
Zn 0.500 0.000 0.500


Entry from Alexandria: ZnOs2Ru after structural relaxation (PBE).

Unit cell a=3.932 b=2.758 c=5.906 alpha=62.02 beta=90.00 gamma=90.00
Fractional coordinates of all 4 atoms:
Os 0.000 0.005 0.993
Os 0.000 0.495 0.507
Ru 0.500 0.250 0.250
Zn 0.500 0.750 0.750


Looking at N(E_F) for the records above, in order, we have 4.26 3.87 5.09 3.36 states/eV/f.u..
Looking at ΔE_f for the records above, in order, we have 300.0 131.2 449.4 248.3 meV per atom.
Looking at magnetization for the records above, in order, we have 0.0 0.0 0.0 0.0 μB per formula unit.